5
Lattice="4.902 0.000 0.000 0.000 4.902 0.000 0.000 0.000 6.679" Properties=species:S:1:pos:R:3 comment="SrBIN2 (PBE, relaxed)" volume_a3_per_cell=160 dos_at_fermi_per_ev_fu=2.07 formation_energy_uncorrected_ev_per_fu=9.95 total_magnetization_mub_per_cell=4.0 polymorph_energy_kj_per_mol_fu=342 pbc="T T T"
Sr 0.000 0.000 0.000
B 2.451 2.451 3.340
I 0.000 0.000 3.340
N 0.000 2.451 0.000
N 2.451 0.000 0.000